{
  "formula": "RbTe2PbN",
  "functional": "PBE-GGA",
  "state": "optimized geometry",
  "lattice": [[-0.463, 1.229, 6.187], [2.339, -5.728, 1.313], [4.698, 1.912, -0.029]],
  "species": ["Te", "Te", "Pb", "N", "Rb"],
  "fractional_positions": [[0.500, 0.000, 0.000], [0.000, 0.500, 0.000], [0.500, 0.500, 0.500], [0.000, 0.000, 0.500], [0.000, 0.000, 0.000]],
  "sg": "P4/mmm, No. 123",
  "e_form_raw_kj_per_mol_fu": 603,
  "dos_at_fermi_per_ev_fu": 5.99,
  "polymorph_energy_ev_per_fu": 3.73
}

{
  "formula": "RbZnPb2N",
  "functional": "PBE-GGA",
  "state": "optimized geometry",
  "lattice": [[6.292, 0.000, 0.000], [0.000, 4.331, 0.000], [0.000, 0.000, 6.292]],
  "species": ["Zn", "Rb", "Pb", "Pb", "N"],
  "fractional_positions": [[0.500, 0.500, 0.500], [0.000, 0.000, 0.000], [0.000, 0.000, 0.500], [0.500, 0.000, 0.000], [0.000, 0.500, 0.000]],
  "sg": "P4/mmm, No. 123",
  "e_form_raw_kj_per_mol_fu": 819,
  "dos_at_fermi_per_ev_fu": 4.41
}

{
  "formula": "RePb3N3",
  "functional": "PBE-GGA",
  "state": "optimized geometry",
  "lattice": [[6.184, 0.000, 0.000], [0.000, 6.779, -0.691], [0.000, 2.561, 7.587]],
  "species": ["N", "N", "N", "N", "N", "N", "Pb", "Pb", "Pb", "Pb", "Pb", "Pb", "Re", "Re"],
  "fractional_positions": [[0.250, 0.630, 0.096], [0.750, 0.845, 0.909], [0.750, 0.370, 0.904], [0.250, 0.293, 0.428], [0.250, 0.155, 0.091], [0.750, 0.707, 0.572], [0.250, 0.751, 0.801], [0.250, 0.850, 0.287], [0.750, 0.735, 0.266], [0.250, 0.265, 0.734], [0.750, 0.249, 0.199], [0.750, 0.150, 0.713], [0.750, 0.639, 0.797], [0.250, 0.361, 0.203]],
  "sg": "P2_1/m, No. 11",
  "e_form_raw_kj_per_mol_fu": 259,
  "dos_at_fermi_per_ev_fu": 0.63
}

{
  "formula": "RePbN3",
  "functional": "PBE-GGA",
  "state": "optimized geometry",
  "lattice": [[-3.494, 1.894, -0.136], [-1.890, -3.442, 0.623], [0.179, 0.612, 3.925]],
  "species": ["N", "N", "N", "Re", "Pb"],
  "fractional_positions": [[0.000, 0.000, 0.500], [0.500, 0.000, 0.000], [0.000, 0.500, 0.000], [0.000, 0.000, 0.000], [0.500, 0.500, 0.500]],
  "sg": "Pm-3m, No. 221",
  "e_form_raw_kj_per_mol_fu": 231,
  "dos_at_fermi_per_ev_fu": 1.98
}

{
  "formula": "RePbN2",
  "functional": "PBE-GGA",
  "state": "optimized geometry",
  "lattice": [[5.521, 0.000, 0.000], [0.000, 5.521, 0.000], [2.760, 2.760, 4.661]],
  "species": ["N", "N", "N", "N", "Pb", "Pb", "Re", "Re"],
  "fractional_positions": [[0.277, 0.625, 0.250], [0.875, 0.723, 0.750], [0.375, 0.527, 0.750], [0.473, 0.125, 0.250], [0.000, 0.000, 0.000], [0.750, 0.250, 0.500], [0.250, 0.750, 0.500], [0.500, 0.500, 0.000]],
  "sg": "I-42d, No. 122",
  "e_form_raw_kj_per_mol_fu": 129,
  "dos_at_fermi_per_ev_fu": 3.07
}

{
  "formula": "RePbN2",
  "functional": "PBE-GGA",
  "state": "optimized geometry",
  "lattice": [[1.374, 2.193, 6.395], [3.725, -0.069, 5.805], [4.079, 3.026, 4.668]],
  "species": ["N", "N", "Pb", "Re"],
  "fractional_positions": [[0.906, 0.906, 0.906], [0.094, 0.094, 0.094], [0.500, 0.500, 0.500], [0.000, 0.000, 0.000]],
  "sg": "R-3m, No. 166",
  "e_form_raw_kj_per_mol_fu": 391,
  "dos_at_fermi_per_ev_fu": 2.30
}